1.
Material: Np2NbP3
Method: DFT, GGA-PBE
State: optimized geometry

Its spin magnetization is 7.19 μB/f.u. The calculation puts the energy relative to the elements at -781 meV/atom.

The structure belongs to space group I4/mmm (No. 139); the cell edges are 3.836, 3.836 and 16.039 Å and the angles 90.00°, 90.00° and 90.00°. The distinct sites, in fractional coordinates, are Np at (0.000, 0.000, 0.165), Nb at (0.000, 0.000, 0.500), P at (0.000, 0.000, 0.000) and P at (0.000, 0.000, 0.339).



2.
Material: NpNbP2
Method: DFT, GGA-PBE
State: optimized geometry

Its spin magnetization is 3.43 μB/f.u. The calculation puts the relative energy among the computed polymorphs at 0.00 eV/f.u. The calculation puts the energy relative to the elements at -866 meV/atom.

The structure belongs to space group R-3m (No. 166, hexagonal axes); the cell edges are 3.7502, 3.7502 and 18.2909 Å and the angles 90.00°, 90.00° and 120.00°. The distinct sites, in fractional coordinates, are Np at (0.0000, 0.0000, 0.0000), Nb at (0.0000, 0.0000, 0.5000) and P at (0.0000, 0.0000, 0.2435).